Entry 1:
! CeLuMgCu | the Alexandria database | PBE | relaxed; values from VASP
&SYSTEM
  ibrav = 0, nat = 4, ntyp = 4
/
ATOMIC_SPECIES
Ce 140.12 Ce.upf
Lu 174.97 Lu.upf
Mg 24.30 Mg.upf
Cu 63.55 Cu.upf
CELL_PARAMETERS angstrom
0.000 3.623 3.623
3.623 0.000 3.623
3.623 3.623 0.000
ATOMIC_POSITIONS crystal
Ce 0.000 0.000 0.000
Lu 0.500 0.500 0.500
Mg 0.750 0.750 0.750
Cu 0.250 0.250 0.250
! Density: 7.03 Mg/m³
! Symmetry: F-43m (216)
! Total magnetic moment: 0.92 μB per formula unit
! Energy of formation: 0.03 eV/atom



Entry 2:
! CeLuMnCu | the Alexandria database | PBE | relaxed; values from VASP
&SYSTEM
  ibrav = 0, nat = 4, ntyp = 4
/
ATOMIC_SPECIES
Ce 140.12 Ce.upf
Lu 174.97 Lu.upf
Mn 54.94 Mn.upf
Cu 63.55 Cu.upf
CELL_PARAMETERS angstrom
0.000 3.445 3.445
3.445 0.000 3.445
3.445 3.445 0.000
ATOMIC_POSITIONS crystal
Ce 0.000 0.000 0.000
Lu 0.500 0.500 0.500
Mn 0.750 0.750 0.750
Cu 0.250 0.250 0.250
! Density: 8.81 Mg/m³
! Symmetry: F-43m (216)
! Total magnetic moment: 1.67 μB per formula unit
! Energy of formation: 0.03 eV/atom



Entry 3:
! CeLuCuNi | the Alexandria database | PBE | relaxed; values from VASP
&SYSTEM
  ibrav = 0, nat = 4, ntyp = 4
/
ATOMIC_SPECIES
Ce 140.12 Ce.upf
Lu 174.97 Lu.upf
Cu 63.55 Cu.upf
Ni 58.69 Ni.upf
CELL_PARAMETERS angstrom
0.000 3.416 3.416
3.416 0.000 3.416
3.416 3.416 0.000
ATOMIC_POSITIONS crystal
Ce 0.000 0.000 0.000
Lu 0.500 0.500 0.500
Cu 0.250 0.250 0.250
Ni 0.750 0.750 0.750
! Density: 9.11 Mg/m³
! Symmetry: F-43m (216)
! Total magnetic moment: 0.47 μB per formula unit
! Energy of formation: -0.25 eV/atom



Entry 4:
! CeLuCuOs | the Alexandria database | PBE | relaxed; values from VASP
&SYSTEM
  ibrav = 0, nat = 4, ntyp = 4
/
ATOMIC_SPECIES
Ce 140.12 Ce.upf
Lu 174.97 Lu.upf
Cu 63.55 Cu.upf
Os 190.23 Os.upf
CELL_PARAMETERS angstrom
0.000 3.427 3.427
3.427 0.000 3.427
3.427 3.427 0.000
ATOMIC_POSITIONS crystal
Ce 0.000 0.000 0.000
Lu 0.500 0.500 0.500
Cu 0.750 0.750 0.750
Os 0.250 0.250 0.250
! Density: 11.73 Mg/m³
! Symmetry: F-43m (216)
! Total magnetic moment: 0.00 μB per formula unit
! Energy of formation: -0.23 eV/atom